1.
ZnIrS2Cl: relaxed, PBE.

As for the relative energy among the computed polymorphs: 0.000 eV/atom. The value obtained for the total energy is -3.710 eV per atom. The formation energy without anion corrections comes out at 337.4 meV/atom. For the magnetic moment, the calculation gives 0.000 Bohr magnetons per cell.

It has space group P4/mmm (No. 123), with a = 4.6277 Å, b = 4.6277 Å, c = 4.9547 Å, α = 90.00°, β = 90.00° and γ = 90.00°. The distinct sites, in fractional coordinates, are Zn at (0.0000, 0.0000, 0.0000), Ir at (0.5000, 0.5000, 0.5000), S at (0.0000, 0.5000, 0.5000) and Cl at (0.5000, 0.5000, 0.0000).


2.
Pr6GeSe2S3: relaxed, PBE.

The value obtained for the total energy is -6.184 eV per atom. The formation energy without anion corrections comes out at -1796.8 meV/atom. For the magnetic moment, the calculation gives 0.000 Bohr magnetons per cell.

It has space group C2/m (No. 12), with a = 18.3400 Å, b = 4.1984 Å, c = 8.4115 Å, α = 90.00°, β = 102.99° and γ = 90.00°. The distinct sites, in fractional coordinates, are Pr at (0.0020, 0.0000, 0.2507), Pr at (0.1601, 0.5000, 0.0925), Pr at (0.1651, 0.5000, 0.5720), Ge at (0.0000, 0.5000, 0.5000), Se at (0.1694, 0.0000, 0.8369), S at (0.0000, 0.5000, 0.0000) and S at (0.1677, 0.0000, 0.3330).


3.
CsCd4I8: relaxed, PBE.

The value obtained for the total energy is -1.929 eV per atom. The formation energy without anion corrections comes out at -628.0 meV/atom. For the magnetic moment, the calculation gives 0.000 Bohr magnetons per cell.

It has space group R-3m (No. 166, hexagonal axes), with a = 8.8053 Å, b = 8.8053 Å, c = 28.6942 Å, α = 90.00°, β = 90.00° and γ = 120.00°. The distinct sites, in fractional coordinates, are Cs at (0.0000, 0.0000, 0.0000), Cd at (0.0000, 0.0000, 0.5000), Cd at (0.0000, 0.5000, 0.5000), I at (0.0000, 0.0000, 0.2266) and I at (0.0076, 0.5038, 0.7723).


4.
EuErAlGa: relaxed, PBE.

The value obtained for the total energy is -5.777 eV per atom. The formation energy from the elements is -36 kJ/mol of atoms. For the magnetic moment, the calculation gives 27.834 Bohr magnetons per cell.

It has space group F-43m (No. 216), with a = 7.3088 Å, b = 7.3088 Å, c = 7.3088 Å, α = 90.00°, β = 90.00° and γ = 90.00°. The distinct sites, in fractional coordinates, are Eu at (0.0000, 0.0000, 0.0000), Er at (0.0000, 0.0000, 0.5000), Al at (0.2500, 0.2500, 0.2500) and Ga at (0.2500, 0.2500, 0.7500).


5.
Nb2Te3Pd: relaxed, PBE.

The value obtained for the total energy is -6.110 eV per atom. The formation energy without anion corrections comes out at -316.6 meV/atom. For the magnetic moment, the calculation gives 0.000 Bohr magnetons per cell.

It has space group C2/m (No. 12), with a = 21.3014 Å, b = 3.9001 Å, c = 8.5321 Å, α = 90.00°, β = 112.32° and γ = 90.00°. The distinct sites, in fractional coordinates, are Nb at (0.0866, 0.0000, 0.4577), Nb at (0.1981, 0.5000, 0.4847), Te at (0.0550, 0.0000, 0.7525), Te at (0.0793, 0.5000, 0.2104), Te at (0.2365, 0.0000, 0.7513) and Pd at (0.1351, 0.5000, 0.7253).


6.
SrGeSN2: relaxed, PBE.

As for the relative energy among the computed polymorphs: 0.000 eV/atom. The value obtained for the total energy is -5.229 eV per atom. The formation energy without anion corrections comes out at 186.3 meV/atom. For the magnetic moment, the calculation gives 1.542 Bohr magnetons per cell.

It has space group P4/mmm (No. 123), with a = 4.0109 Å, b = 4.0109 Å, c = 4.9879 Å, α = 90.00°, β = 90.00° and γ = 90.00°. The distinct sites, in fractional coordinates, are Sr at (0.0000, 0.0000, 0.0000), Ge at (0.5000, 0.5000, 0.5000), S at (0.5000, 0.5000, 0.0000) and N at (0.0000, 0.5000, 0.5000).


7.
AlTeAsN2: relaxed, PBE.

As for the relative energy among the computed polymorphs: 0.251 eV/atom. The value obtained for the total energy is -4.448 eV per atom. The formation energy without anion corrections comes out at 1188.7 meV/atom. For the magnetic moment, the calculation gives 0.468 Bohr magnetons per cell.

It has space group P4/mmm (No. 123), with a = 3.7962 Å, b = 3.7962 Å, c = 6.7738 Å, α = 90.00°, β = 90.00° and γ = 90.00°. The distinct sites, in fractional coordinates, are Al at (0.0000, 0.0000, 0.0000), Te at (0.5000, 0.5000, 0.0000), As at (0.5000, 0.5000, 0.5000) and N at (0.0000, 0.5000, 0.5000).